# MnBi2O6 | the Alexandria database | PBE with a Hubbard U | optimized geometry
# D(E_F), states/eV per cell: 8.14
# Final energy, eV per atom: -5.897
data_MnBi2O6
_cell_length_a 9.638
_cell_length_b 3.316
_cell_length_c 7.534
_cell_angle_alpha 90.00
_cell_angle_beta 94.95
_cell_angle_gamma 90.00
_space_group_name_H-M_alt 'C 1 2/m 1'
_space_group_IT_number 12
_space_group_name_Hall '-C 2y'
loop_
_atom_site_label
_atom_site_type_symbol
_atom_site_fract_x
_atom_site_fract_y
_atom_site_fract_z
Mn1 Mn 0.000 0.000 0.000
Bi1 Bi 0.226 0.500 0.288
O1 O 0.067 0.000 0.243
O2 O 0.124 0.500 0.971
O3 O 0.155 0.500 0.567